FeP2BrO | PBE with a Hubbard U | relaxed

## Properties
- V: 18.3 A^3/atom
- E_tot: -3.312 eV/atom

POSCAR file:
```
FeP2BrO
1.0
5.005 0.000 0.000
0.000 5.005 0.000
0.000 0.000 3.659
Fe P Br O
1 2 1 1
direct
0.000 0.000 0.000
0.000 0.500 0.500
0.500 0.000 0.500
0.500 0.500 0.500
0.500 0.500 0.000
```